No. 1
Density functional theory data (PBE-GGA) for crystalline NaScPtAu at its relaxed geometry.

abc: 4.723 4.723 4.723
angles: 60.00 60.00 60.00
Positions (direct):
Na 0.000 0.000 0.000
Sc 0.500 0.500 0.500
Pt 0.250 0.250 0.250
Au 0.750 0.750 0.750

Calculated values
SG: F-43m (216)
Energy of formation, eV/atom: -0.60

***

No. 2
Density functional theory data (PBE-GGA) for crystalline Na2Sn4Pt3Au at its relaxed geometry.

abc: 4.690 4.690 10.744
angles: 90.00 90.00 90.00
Positions (direct):
Na 0.000 0.500 0.237
Na 0.500 0.000 0.763
Sn 0.000 0.000 0.500
Sn 0.000 0.500 0.870
Sn 0.500 0.000 0.130
Sn 0.500 0.500 0.500
Pt 0.000 0.000 0.000
Pt 0.000 0.500 0.626
Pt 0.500 0.000 0.374
Au 0.500 0.500 0.000

Calculated values
SG: P-4m2 (115)
Energy of formation, eV/atom: -0.41

***

> Which of these has the highest energy of formation?

Na2Sn4Pt3Au

***

What did the first record say?
Density functional theory data (PBE-GGA) for crystalline NaScPtAu at its relaxed geometry.

abc: 4.723 4.723 4.723
angles: 60.00 60.00 60.00
Positions (direct):
Na 0.000 0.000 0.000
Sc 0.500 0.500 0.500
Pt 0.250 0.250 0.250
Au 0.750 0.750 0.750

Calculated values
SG: F-43m (216)
Energy of formation, eV/atom: -0.60

***

> Which of these has the lowest energy of formation?

NaScPtAu